CuPtW2Au: relaxed, PBE.

Cell: 4.7918 4.7918 4.5866 Å, 90.00 90.00 90.00°
Closest atoms and distances in Å follow each position.
Space group P4/mmm (No. 123)
One atom of each set of equivalent atoms:
1 Cu 0.0000 0.0000 0.0000 x1  2 Pt 2.29
2 Pt 0.0000 0.0000 0.5000 x1  2 Cu 2.29, 4 W 2.40
3 W 0.0000 0.5000 0.5000 x2  2 Pt 2.40
4 Au 0.5000 0.5000 0.0000 x1  8 W 3.32, 4 Cu 3.39

calculated formation energy = 1.72 eV per atom
final energy = -6.140 eV per atom
DOS at the Fermi energy = 5.705 states/eV per cell



Y2Cu2Pt5Au: relaxed, PBE.

Cell: 9.3173 9.3173 3.9913 Å, 90.00 90.00 90.00°
Closest atoms and distances in Å follow each position.
Space group P4/mbm (No. 127)
One atom of each set of equivalent atoms:
1 Y 0.1784 0.3216 0.0000 x4  3 Cu 2.67-2.83
2 Cu 0.1193 0.6193 0.0000 x4  6 Pt 2.54-2.61, 3 Y 2.67-2.83
3 Pt 0.0000 0.5000 0.5000 x2  4 Cu 2.54, 4 Pt 2.80
4 Pt 0.0691 0.7921 0.5000 x8  2 Cu 2.61, 3 Pt 2.80-2.89, 2 Au 2.85
5 Au 0.0000 0.0000 0.0000 x2  8 Pt 2.85

calculated formation energy = -0.74 eV per atom
final energy = -6.200 eV per atom
DOS at the Fermi energy = 6.930 states/eV per cell



Pu5Cu3Au3: relaxed, PBE.

Cell: 9.5673 9.5673 2.9244 Å, 90.00 90.00 120.00°
Closest atoms and distances in Å follow each position.
Space group P-62m (No. 189)
One atom of each set of equivalent atoms:
1 Pu 0.0000 0.3379 0.0000 x3  2 Cu 2.81, 2 Pu 2.92, 2 Au 3.10
2 Pu 0.3333 0.6667 0.0000 x2  5 Pu 2.92-3.17
3 Cu 0.0000 0.8536 0.0000 x3  2 Cu 2.43, 2 Au 2.64
4 Au 0.0000 0.6237 0.5000 x3  2 Cu 2.64, 2 Au 2.92

calculated formation energy = 0.11 eV per atom
final energy = -8.419 eV per atom
DOS at the Fermi energy = 30.502 states/eV per cell



PuCu9Au2: relaxed, PBE.

Cell: 5.0150 5.0150 23.8993 Å, 90.00 90.00 120.00°
Closest atoms and distances in Å follow each position.
Space group R-3m (No. 166, hexagonal axes)
One atom of each set of equivalent atoms:
1 Pu 0.0000 0.0000 0.0000 x3  18 Cu 2.90-3.23
2 Cu 0.0000 0.0000 0.3337 x6  6 Cu 2.50
3 Cu 0.0000 0.0000 0.5000 x3  6 Cu 2.44
4 Cu 0.0041 0.5020 0.9147 x18  7 Cu 2.44-2.54
5 Au 0.0000 0.0000 0.1417 x6  12 Cu 2.85-2.96, 3 Au 3.13

calculated formation energy = -0.05 eV per atom
final energy = -4.864 eV per atom
DOS at the Fermi energy = 47.112 states/eV per cell



PuCu4Au8: relaxed, PBE.

Cell: 9.2110 9.2110 5.3222 Å, 90.00 90.00 90.00°
Closest atoms and distances in Å follow each position.
Space group I4/mmm (No. 139)
One atom of each set of equivalent atoms:
1 Pu 0.0000 0.0000 0.0000 x2  12 Au 3.12-3.34
2 Cu 0.2500 0.2500 0.2500 x8  2 Cu 2.66, 8 Au 2.67-2.78
3 Au 0.0000 0.2192 0.5000 x8  4 Cu 2.67, 6 Au 2.86-2.98
4 Au 0.0000 0.3390 0.0000 x8  4 Cu 2.78, 5 Au 2.88-2.98

calculated formation energy = -0.16 eV per atom
final energy = -4.544 eV per atom
DOS at the Fermi energy = 41.176 states/eV per cell



PuCu4Au: relaxed, PBE.

Cell: 7.1892 7.1892 7.1892 Å, 90.00 90.00 90.00°
Closest atoms and distances in Å follow each position.
Space group F-43m (No. 216)
One atom of each set of equivalent atoms:
1 Pu 0.0000 0.0000 0.0000 x4  12 Cu 2.98, 4 Au 3.11
2 Cu 0.1240 0.1240 0.3760 x16  6 Cu 2.52-2.56
3 Au 0.2500 0.2500 0.7500 x4  12 Cu 2.98, 4 Pu 3.11

calculated formation energy = -0.12 eV per atom
final energy = -5.788 eV per atom
DOS at the Fermi energy = 68.564 states/eV per cell



Pu2CuAu3: relaxed, PBE.

Cell: 6.2134 9.6251 16.6979 Å, 90.00 90.00 90.00°
Closest atoms and distances in Å follow each position.
Space group Fmmm (No. 69)
One atom of each set of equivalent atoms:
1 Pu 0.2466 0.0000 0.0000 x8  2 Pu 3.06-3.15, 10 Au 3.15-3.26, 2 Cu 3.20
2 Pu 0.2500 0.2500 0.2500 x8  2 Pu 3.11, 8 Au 3.15, 4 Cu 3.18
3 Cu 0.0000 0.0000 0.3330 x8  3 Au 2.68-2.69
4 Au 0.0000 0.0000 0.1719 x8  1 Cu 2.69, 2 Au 2.88
5 Au 0.0000 0.2406 0.4140 x16  1 Cu 2.68, 2 Au 2.87-2.88

calculated formation energy = -0.38 eV per atom
final energy = -7.476 eV per atom
DOS at the Fermi energy = 155.474 states/eV per cell



Pu2CuAu2: relaxed, PBE.

Cell: 10.6267 4.4054 10.7371 Å, 90.00 115.70 90.00°
Closest atoms and distances in Å follow each position.
Space group C2/m (No. 12)
One atom of each set of equivalent atoms:
1 Pu 0.0086 0.0000 0.3393 x4  4 Cu 3.11-3.46, 7 Au 3.13-3.30
2 Pu 0.1835 0.0000 0.1123 x4  6 Au 3.01-3.19, 2 Cu 3.17
3 Cu 0.2132 0.5000 0.3361 x4  4 Au 2.59-2.80
4 Au 0.0315 0.5000 0.8826 x4  1 Cu 2.64, 1 Au 2.88
5 Au 0.1514 0.5000 0.5642 x4  3 Cu 2.59-2.80, 1 Au 2.90

calculated formation energy = -0.29 eV per atom
final energy = -8.154 eV per atom
DOS at the Fermi energy = 91.992 states/eV per cell